Entry 1:
SrBiAs2 | GGA-PBE | relaxed

Results
total energy = -16.50 eV per cell
crystal system = trigonal
total moment = 0.000 μB per formula unit
formation energy from the elements = -0.411 eV per atom
space-group type = R-3m, No. 166

Unit cell a=4.2296 b=4.2296 c=7.9496 alpha=74.57 beta=74.57 gamma=60.00
Closest atoms and distances in Å follow each position.
Sites, in units of the cell vectors:
1 Sr 0.5000 0.5000 0.5000  6 As 3.18
2 As 0.2562 0.2562 0.2314  3 Bi 3.00, 3 Sr 3.18
3 As 0.7438 0.7438 0.7686  3 Bi 3.00, 3 Sr 3.18
4 Bi 0.0000 0.0000 0.0000  6 As 3.00


Entry 2:
Sr2Tl6HgRh | GGA-PBE | relaxed

Results
total energy = -52.29 eV per cell
crystal system = trigonal
total moment = 0.000 μB per formula unit
formation energy from the elements = -0.093 eV per atom
space-group type = R-3m, No. 166

Unit cell a=7.5310 b=7.5310 c=13.4202 alpha=73.70 beta=73.70 gamma=60.00
Closest atoms and distances in Å follow each position.
Sites, in units of the cell vectors:
1 Sr 0.8979 0.8979 0.3064  12 Tl 3.65-4.07, 1 Rh 3.89
2 Sr 0.1021 0.1021 0.6936  12 Tl 3.65-4.07, 1 Rh 3.89
3 Sr 0.7197 0.7197 0.8410  12 Tl 3.64-3.87
4 Sr 0.2803 0.2803 0.1590  12 Tl 3.64-3.87
5 Tl 0.9175 0.3378 0.4069  1 Rh 2.78, 1 Hg 3.01
6 Tl 0.3378 0.9175 0.4069  1 Rh 2.78, 1 Hg 3.01
7 Tl 0.3378 0.3378 0.4069  1 Rh 2.78, 1 Hg 3.01
8 Tl 0.0825 0.6622 0.5931  1 Rh 2.78, 1 Hg 3.01
9 Tl 0.6622 0.0825 0.5931  1 Rh 2.78, 1 Hg 3.01
10 Tl 0.6622 0.6622 0.5931  1 Rh 2.78, 1 Hg 3.01
11 Tl 0.6549 0.2193 0.9065  1 Rh 2.73, 1 Hg 3.01
12 Tl 0.2193 0.6549 0.9065  1 Rh 2.73, 1 Hg 3.01
13 Tl 0.2193 0.2193 0.9065  1 Rh 2.73, 1 Hg 3.01
14 Tl 0.3451 0.7807 0.0935  1 Rh 2.73, 1 Hg 3.01
15 Tl 0.7807 0.3451 0.0935  1 Rh 2.73, 1 Hg 3.01
16 Tl 0.7807 0.7807 0.0935  1 Rh 2.73, 1 Hg 3.01
17 Hg 0.5741 0.5741 0.2778  1 Rh 2.82, 6 Tl 3.01
18 Hg 0.4259 0.4259 0.7222  1 Rh 2.82, 6 Tl 3.01
19 Rh 0.0000 0.0000 0.0000  6 Tl 2.73
20 Rh 0.5000 0.5000 0.5000  6 Tl 2.78, 2 Hg 2.82


Entry 3:
BeAl2Se | GGA-PBE | relaxed

Results
total energy = -12.79 eV per cell
formation energy from raw total energies = 0.477 eV/atom
crystal system = cubic
total moment = 0.000 μB per formula unit
space-group type = F-43m, No. 216

Unit cell a=4.5019 b=4.5019 c=4.5019 alpha=60.00 beta=60.00 gamma=60.00
Closest atoms and distances in Å follow each position.
Sites, in units of the cell vectors:
1 Be 0.5000 0.5000 0.5000  4 Al 2.76, 4 Se 2.76
2 Al 0.0000 0.0000 0.0000  4 Se 2.76, 4 Al 2.76
3 Al 0.7500 0.7500 0.7500  4 Be 2.76, 4 Al 2.76
4 Se 0.2500 0.2500 0.2500  4 Be 2.76, 4 Al 2.76


Entry 4:
TmAl2C2 | GGA-PBE | relaxed

Results
total energy = -31.00 eV per cell
crystal system = trigonal
total moment = 0.000 μB per formula unit
formation energy from the elements = -0.119 eV per atom
space-group type = R-3m, No. 166

Unit cell a=3.3406 b=3.3406 c=7.4513 alpha=77.05 beta=77.05 gamma=60.00
Closest atoms and distances in Å follow each position.
Sites, in units of the cell vectors:
1 Tm 0.0000 0.0000 0.0000  6 C 2.50
2 Al 0.2260 0.2260 0.3219  3 C 2.06
3 Al 0.7740 0.7740 0.6781  3 C 2.06
4 C 0.5933 0.5933 0.2200  3 Al 2.06
5 C 0.4067 0.4067 0.7800  3 Al 2.06


For the records above, the corresponding volume values read 29.30, 31.18, 16.13, 13.91 Å³ per atom.
For the records above, the corresponding Fermi-level density of states values read 4.6, 12.5, 2.0, 2.4 states/eV per cell.